(1)
# Tl2InPdCl

Tl2InPdCl after structural relaxation (PBE, Alexandria).

Properties
Total magnetic moment = 0.00 μB per formula unit
Volume = 150.7 Å³/cell
Formation energy (no corrections) = -0.41 eV/atom
Space-group type = No. 123

Cell lengths 5.369, 5.369, 5.226 Å; angles 90.00, 90.00, 90.00 degrees
Atoms (fractional coordinates):
Pd1 0.000 0.000 0.000
In1 0.000 0.000 0.500
Tl1 0.000 0.500 0.000
Tl2 0.500 0.000 0.000
Cl1 0.500 0.500 0.500



(2)
# VInPd2Cl

VInPd2Cl after structural relaxation (PBE, Alexandria).

Properties
Total magnetic moment = 0.11 μB per formula unit
Volume = 128.5 Å³/cell
Formation energy (no corrections) = 1.03 eV/atom
Space-group type = No. 123

Cell lengths 4.994, 5.151, 4.994 Å; angles 90.00, 90.00, 90.00 degrees
Atoms (fractional coordinates):
Pd1 0.000 0.000 0.500
Pd2 0.500 0.000 0.000
In1 0.000 0.000 0.000
V1 0.500 0.500 0.500
Cl1 0.000 0.500 0.000



(3)
# PmIn4Cl7

PmIn4Cl7 after structural relaxation (PBE, Alexandria).

Properties
Total magnetic moment = 0.00 μB per formula unit
Volume = 408.7 Å³/cell
Formation energy (no corrections) = -1.28 eV/atom
Space-group type = No. 12

Cell lengths 5.363, 7.570, 11.257 Å; angles 112.26, 103.78, 90.00 degrees
Atoms (fractional coordinates):
Cl1 0.278 0.206 0.556
Cl2 0.722 0.794 0.444
Cl3 0.500 0.000 0.000
Cl4 0.916 0.186 0.832
Cl5 0.084 0.814 0.168
Cl6 0.109 0.337 0.218
Cl7 0.891 0.663 0.782
In1 0.301 0.848 0.601
In2 0.699 0.152 0.399
In3 0.414 0.452 0.828
In4 0.586 0.548 0.172
Pm1 0.000 0.000 0.000



(4)
# PmIn4Cl6

PmIn4Cl6 after structural relaxation (PBE, Alexandria).

Properties
Total magnetic moment = 0.00 μB per formula unit
Volume = 773.8 Å³/cell
Formation energy (no corrections) = -1.15 eV/atom
Space-group type = No. 128

Cell lengths 8.420, 8.420, 10.914 Å; angles 90.00, 90.00, 90.00 degrees
Atoms (fractional coordinates):
Pm1 0.500 0.500 0.000
Pm2 0.000 0.000 0.500
Cl1 0.500 0.500 0.749
Cl2 0.500 0.500 0.251
Cl3 0.257 0.804 0.500
Cl4 0.000 0.000 0.751
Cl5 0.304 0.757 0.000
Cl6 0.804 0.743 0.500
Cl7 0.243 0.304 0.000
Cl8 0.696 0.243 0.000
Cl9 0.000 0.000 0.249
Cl10 0.196 0.257 0.500
Cl11 0.743 0.196 0.500
Cl12 0.757 0.696 0.000
In1 0.152 0.652 0.250
In2 0.848 0.348 0.750
In3 0.652 0.848 0.750
In4 0.152 0.652 0.750
In5 0.848 0.348 0.250
In6 0.652 0.848 0.250
In7 0.348 0.152 0.750
In8 0.348 0.152 0.250